[1]
DFT (PBE) results for a relaxed Ho4SnN crystal.

Cell lengths 15.1653, 5.7583, 6.9571 Å; angles 90.00, 107.13, 90.00 degrees
Closest atoms and distances in Å follow each position.
Space group C2/c (No. 15)
Inequivalent atoms, fractional coordinates:
Ho1 0.1071 0.0519 0.4260 x8  1 N 2.37
Ho2 0.1933 0.4643 0.1866 x8  2 N 2.41-2.43
Sn1 0.0000 0.4383 0.7500 x4  6 Ho 3.14-3.40
N1 0.2500 0.2500 0.5000 x4  6 Ho 2.37-2.43

Calculated values
The value obtained for the formation energy from raw total energies is -72 kJ/mol of atoms. The density of states at the Fermi level is 19.71 states/eV per cell. As for the electronic total energy: -5.849 eV/atom.


[2]
DFT (PBE) results for a relaxed LaHfAsBr2 crystal.

Cell lengths 5.1289, 5.1289, 5.2811 Å; angles 90.00, 90.00, 90.00 degrees
Closest atoms and distances in Å follow each position.
Space group P4/mmm (No. 123)
Inequivalent atoms, fractional coordinates:
La1 0.0000 0.0000 0.0000 x1  4 As 3.63, 8 Br 3.68
Hf1 0.5000 0.5000 0.5000 x1  4 Br 2.56, 2 As 2.64
As1 0.5000 0.5000 0.0000 x1  2 Hf 2.64
Br1 0.0000 0.5000 0.5000 x2  2 Hf 2.56

Calculated values
The value obtained for the formation energy from raw total energies is -69 kJ/mol of atoms. The density of states at the Fermi level is 5.98 states/eV per cell. As for the electronic total energy: -5.287 eV/atom.